(1)
A relaxed ThGa12Ir6 crystal, computed with PBE-GGA.

Cell: 7.1965 7.1965 7.1965 Å, 104.97 104.97 104.97°
With the nearest neighbours (Å) after each atom.
Fractional coordinates of all 19 atoms:
Th 0.0000 0.0000 0.0000  6 Ga 3.26
Ga 0.1136 0.5000 0.8864  4 Ir 2.54-2.57, 3 Ga 2.59-2.73
Ga 0.1136 0.8864 0.5000  4 Ir 2.54-2.57, 3 Ga 2.59-2.73
Ga 0.1326 0.4043 0.4043  4 Ir 2.55-2.83, 2 Ga 2.73
Ga 0.4043 0.1326 0.4043  4 Ir 2.55-2.83, 2 Ga 2.73
Ga 0.4043 0.4043 0.1326  4 Ir 2.55-2.83, 2 Ga 2.73
Ga 0.5000 0.1136 0.8864  4 Ir 2.54-2.57, 3 Ga 2.59-2.73
Ga 0.5000 0.8864 0.1136  4 Ir 2.54-2.57, 3 Ga 2.59-2.73
Ga 0.5957 0.5957 0.8674  4 Ir 2.55-2.83, 2 Ga 2.73
Ga 0.5957 0.8674 0.5957  4 Ir 2.55-2.83, 2 Ga 2.73
Ga 0.8674 0.5957 0.5957  4 Ir 2.55-2.83, 2 Ga 2.73
Ga 0.8864 0.1136 0.5000  4 Ir 2.54-2.57, 3 Ga 2.59-2.73
Ga 0.8864 0.5000 0.1136  4 Ir 2.54-2.57, 3 Ga 2.59-2.73
Ir 0.2748 0.2748 0.6998  8 Ga 2.54-2.83
Ir 0.2748 0.6998 0.2748  8 Ga 2.54-2.83
Ir 0.3002 0.7252 0.7252  8 Ga 2.54-2.83
Ir 0.6998 0.2748 0.2748  8 Ga 2.54-2.83
Ir 0.7252 0.3002 0.7252  8 Ga 2.54-2.83
Ir 0.7252 0.7252 0.3002  8 Ga 2.54-2.83

Computed properties:
As for the space-group type: R-3m, No. 166. The value obtained for the density of states at the Fermi level is 8.75 states/eV per cell. The energy relative to the elements is -7.69 eV/f.u.


(2)
A relaxed InNi6Au crystal, computed with PBE-GGA.

Cell: 6.4457 6.4457 10.5265 Å, 90.00 90.00 109.67°
With the nearest neighbours (Å) after each atom.
Fractional coordinates of all 32 atoms:
In 0.0000 0.0000 0.2494  12 Ni 2.63-2.64
In 0.0000 0.0000 0.7506  12 Ni 2.63-2.64
In 0.2484 0.7516 0.5000  12 Ni 2.62-2.65
In 0.7516 0.2484 0.5000  12 Ni 2.62-2.65
Ni 0.0000 0.0000 0.0000  2 Au 2.61, 2 In 2.63, 8 Ni 2.64
Ni 0.0000 0.0000 0.5000  4 In 2.62-2.64, 8 Ni 2.64
Ni 0.1264 0.3772 0.1241  8 Ni 2.61-2.64, 3 Au 2.62, 1 In 2.64
Ni 0.1264 0.3772 0.8759  8 Ni 2.61-2.64, 3 Au 2.62, 1 In 2.64
Ni 0.1275 0.3766 0.3741  1 Au 2.62, 8 Ni 2.62-2.65, 3 In 2.63-2.64
Ni 0.1275 0.3766 0.6259  1 Au 2.62, 8 Ni 2.62-2.65, 3 In 2.63-2.64
Ni 0.2505 0.7495 0.2489  8 Ni 2.61-2.65, 2 Au 2.62-2.63, 2 In 2.64
Ni 0.2505 0.7495 0.7511  8 Ni 2.61-2.65, 2 Au 2.62-2.63, 2 In 2.64
Ni 0.3772 0.1264 0.1241  8 Ni 2.61-2.64, 3 Au 2.62, 1 In 2.64
Ni 0.3772 0.1264 0.8759  8 Ni 2.61-2.64, 3 Au 2.62, 1 In 2.64
Ni 0.3766 0.1275 0.3741  1 Au 2.62, 8 Ni 2.62-2.65, 3 In 2.63-2.64
Ni 0.3766 0.1275 0.6259  1 Au 2.62, 8 Ni 2.62-2.65, 3 In 2.63-2.64
Ni 0.5000 0.5000 0.0000  8 Ni 2.62, 4 Au 2.62-2.66
Ni 0.5000 0.5000 0.5000  8 Ni 2.62, 2 Au 2.64, 2 In 2.65
Ni 0.6234 0.8725 0.3741  1 Au 2.62, 8 Ni 2.62-2.65, 3 In 2.63-2.64
Ni 0.6234 0.8725 0.6259  1 Au 2.62, 8 Ni 2.62-2.65, 3 In 2.63-2.64
Ni 0.6228 0.8736 0.1241  8 Ni 2.61-2.64, 3 Au 2.62, 1 In 2.64
Ni 0.6228 0.8736 0.8759  8 Ni 2.61-2.64, 3 Au 2.62, 1 In 2.64
Ni 0.7495 0.2505 0.2489  8 Ni 2.61-2.65, 2 Au 2.62-2.63, 2 In 2.64
Ni 0.7495 0.2505 0.7511  8 Ni 2.61-2.65, 2 Au 2.62-2.63, 2 In 2.64
Ni 0.8725 0.6234 0.3741  1 Au 2.62, 8 Ni 2.62-2.65, 3 In 2.63-2.64
Ni 0.8725 0.6234 0.6259  1 Au 2.62, 8 Ni 2.62-2.65, 3 In 2.63-2.64
Ni 0.8736 0.6228 0.1241  8 Ni 2.61-2.64, 3 Au 2.62, 1 In 2.64
Ni 0.8736 0.6228 0.8759  8 Ni 2.61-2.64, 3 Au 2.62, 1 In 2.64
Au 0.2481 0.7519 0.0000  12 Ni 2.61-2.66
Au 0.5000 0.5000 0.2491  12 Ni 2.62-2.64
Au 0.5000 0.5000 0.7509  12 Ni 2.62-2.64
Au 0.7519 0.2481 0.0000  12 Ni 2.61-2.66

Computed properties:
As for the space-group type: Cmmm, No. 65. The value obtained for the density of states at the Fermi level is 42.36 states/eV per cell. The energy relative to the elements is 0.24 eV/f.u.


(3)
A relaxed LaPm2Al2Ag2 crystal, computed with PBE-GGA.

Cell: 9.6626 9.6626 9.6626 Å, 28.40 28.40 28.40°
With the nearest neighbours (Å) after each atom.
Fractional coordinates of all 7 atoms:
La 0.0000 0.0000 0.0000  6 Ag 3.36, 6 Al 3.44, 2 Pm 3.55
Pm 0.1278 0.1278 0.1278  3 Al 3.10, 3 Ag 3.17
Pm 0.8722 0.8722 0.8722  3 Al 3.10, 3 Ag 3.17
Al 0.2582 0.2582 0.2582  3 Ag 2.74
Al 0.7418 0.7418 0.7418  3 Ag 2.74
Ag 0.4035 0.4035 0.4035  3 Al 2.74
Ag 0.5965 0.5965 0.5965  3 Al 2.74

Computed properties:
As for the space-group type: R-3m, No. 166. The value obtained for the density of states at the Fermi level is 5.31 states/eV per cell. The energy relative to the elements is -2.08 eV/f.u.


(4)
A relaxed Ni3PdN crystal, computed with PBE-GGA.

Cell: 5.1687 5.1687 6.2214 Å, 124.77 124.77 64.26°
With the nearest neighbours (Å) after each atom.
Fractional coordinates of all 10 atoms:
Ni 0.0345 0.0345 0.3267  2 N 1.85-1.90
Ni 0.4544 0.4756 0.6743  1 N 1.85
Ni 0.5244 0.5456 0.3257  1 N 1.85
Ni 0.5289 0.0590 0.8160  2 N 1.83-1.92
Ni 0.9410 0.4711 0.1840  2 N 1.83-1.92
Ni 0.9655 0.9655 0.6733  2 N 1.85-1.90
Pd 0.0267 0.5280 0.8162  1 N 2.14
Pd 0.4720 0.9733 0.1838  1 N 2.14
N 0.2526 0.7474 0.5000  6 Ni 1.85-1.92
N 0.9633 0.0367 0.0000  4 Ni 1.83-1.85

Computed properties:
As for the space-group type: C2, No. 5. The value obtained for the density of states at the Fermi level is 10.84 states/eV per cell. The calculation puts the uncorrected formation energy at 80 meV/atom.


(5)
A relaxed ScSn3S crystal, computed with PBE-GGA.

Cell: 5.5387 5.5387 5.5387 Å, 90.00 90.00 90.00°
With the nearest neighbours (Å) after each atom.
Fractional coordinates of all 5 atoms:
Sc 0.0000 0.0000 0.0000  6 Sn 2.77
Sn 0.0000 0.0000 0.5000  2 Sc 2.77
Sn 0.0000 0.5000 0.0000  2 Sc 2.77
Sn 0.5000 0.0000 0.0000  2 Sc 2.77
S 0.5000 0.5000 0.5000  12 Sn 3.92

Computed properties:
As for the space-group type: Pm-3m, No. 221. The value obtained for the density of states at the Fermi level is 5.57 states/eV per cell. The calculation puts the uncorrected formation energy at 585 meV/atom.


(6)
A relaxed In2W crystal, computed with PBE-GGA.

Cell: 8.4781 8.4781 2.9648 Å, 90.00 90.00 120.00°
With the nearest neighbours (Å) after each atom.
Fractional coordinates of all 9 atoms:
In 0.0000 0.2862 0.0000  4 W 2.84-3.05, 4 In 2.96-3.12
In 0.0000 0.6105 0.5000  8 In 2.96-3.31, 5 W 3.01-3.30
In 0.2862 0.0000 0.0000  4 W 2.84-3.05, 4 In 2.96-3.12
In 0.3895 0.3895 0.5000  8 In 2.96-3.31, 5 W 3.01-3.30
In 0.6105 0.0000 0.5000  8 In 2.96-3.31, 5 W 3.01-3.30
In 0.7138 0.7138 0.0000  4 W 2.84-3.05, 4 In 2.96-3.12
W 0.0000 0.0000 0.5000  6 In 2.84, 2 W 2.96
W 0.3333 0.6667 0.0000  2 W 2.96, 9 In 3.01-3.05
W 0.6667 0.3333 0.0000  2 W 2.96, 9 In 3.01-3.05

Computed properties:
As for the space-group type: P-62m, No. 189. The value obtained for the density of states at the Fermi level is 6.64 states/eV per cell. The energy relative to the elements is 2.09 eV/f.u.


(7)
A relaxed Pm2Sc3Pt2 crystal, computed with PBE-GGA.

Cell: 6.2703 6.2703 8.6093 Å, 116.30 116.30 34.13°
With the nearest neighbours (Å) after each atom.
Fractional coordinates of all 7 atoms:
Pm 0.1511 0.1511 0.3047  2 Pt 3.06
Pm 0.8489 0.8489 0.6953  2 Pt 3.06
Sc 0.3810 0.3810 0.0619  3 Pt 2.72-2.81
Sc 0.5000 0.5000 0.5000  4 Pt 2.77
Sc 0.6190 0.6190 0.9381  3 Pt 2.72-2.81
Pt 0.1613 0.1613 0.7387  5 Sc 2.72-2.81
Pt 0.8387 0.8387 0.2613  5 Sc 2.72-2.81

Computed properties:
As for the space-group type: C2/m, No. 12. The value obtained for the density of states at the Fermi level is 9.33 states/eV per cell. The energy relative to the elements is -5.34 eV/f.u.